(1)
Compound: Al3TcGe
Source: Alexandria via LeMat-Bulk
Functional: PBE
Structure: optimized geometry

Structure (POSCAR):
```
Al3TcGe
1.0
4.7455 0.0000 0.0000
0.0000 4.7455 0.0000
0.0000 0.0000 4.7455
Tc Al Ge
1 3 1
Direct
0.0000 0.0000 0.0000 Tc
0.0000 0.5000 0.0000 Al
0.0000 0.0000 0.5000 Al
0.5000 0.0000 0.0000 Al
0.5000 0.5000 0.5000 Ge
```

Summary:
E = -24.19 eV/cell
V = 106.9 Å³ per cell
Energy relative to the lowest polymorph listed for this composition = 0 meV/atom
D(E_F) = 0.42 states/eV per cell
Energy of formation from the pure elements = 404 meV/atom

(2)
Compound: AlTc2Ge4
Source: Alexandria via LeMat-Bulk
Functional: PBE
Structure: optimized geometry

Structure (POSCAR):
```
AlTc2Ge4
1.0
-4.6084 0.0317 -1.4682
0.4101 -4.6154 -1.3870
-3.9025 -4.1411 4.1928
Ge Al Tc
4 1 2
Direct
0.5000 0.0000 0.0000 Ge
0.0000 0.5000 0.0000 Ge
0.2049 0.2049 0.5902 Ge
0.7951 0.7951 0.4098 Ge
0.0000 0.0000 0.0000 Al
0.5980 0.5980 0.8040 Tc
0.4020 0.4020 0.1960 Tc
```

Summary:
E = -37.09 eV/cell
V = 144.7 Å³ per cell
D(E_F) = 8.23 states/eV per cell
Energy of formation from the pure elements = 836 meV/atom

(3)
Compound: AlTc2Ge
Source: Alexandria via LeMat-Bulk
Functional: PBE
Structure: optimized geometry

Structure (POSCAR):
```
AlTc2Ge
1.0
-0.2113 1.6910 -2.3525
-2.6089 0.8775 -0.9284
-0.3892 7.4763 3.6157
Al Ge Tc
1 1 2
Direct
0.0000 0.0000 0.0000 Al
0.5000 0.5000 0.5000 Ge
0.7524 0.7524 0.7428 Tc
0.2476 0.2476 0.2572 Tc
```

Summary:
E = -29.33 eV/cell
V = 59.5 Å³ per cell
Energy relative to the lowest polymorph listed for this composition = 107 meV/atom
D(E_F) = 3.92 states/eV per cell
Energy of formation from the pure elements = -60 meV/atom

(4)
Compound: AlTc2Ge2
Source: Alexandria via LeMat-Bulk
Functional: PBE
Structure: optimized geometry

Structure (POSCAR):
```
AlTc2Ge2
1.0
-1.0453 -4.6822 4.9988
-3.1403 -4.1663 -4.5590
2.8355 -1.3758 -0.6958
Tc Al Ge
4 2 4
Direct
0.6489 0.1489 0.0000 Tc
0.1489 0.3511 0.0000 Tc
0.8511 0.6489 0.0000 Tc
0.3511 0.8511 0.0000 Tc
0.0000 0.0000 0.0000 Al
0.5000 0.5000 0.0000 Al
0.6494 0.8506 0.5000 Ge
0.3506 0.1494 0.5000 Ge
0.1494 0.6494 0.5000 Ge
0.8506 0.3506 0.5000 Ge
```

Summary:
E = -68.52 eV/cell
V = 154.9 Å³ per cell
Energy relative to the lowest polymorph listed for this composition = 0 meV/atom
D(E_F) = 4.34 states/eV per cell
Energy of formation from the pure elements = -110 meV/atom

(5)
Compound: AlTc2Ge2
Source: Alexandria via LeMat-Bulk
Functional: PBE
Structure: optimized geometry

Structure (POSCAR):
```
AlTc2Ge2
1.0
3.5014 0.0000 0.0000
0.0000 3.5014 0.0000
1.7507 1.7507 6.4855
Ge Tc Al
2 2 1
Direct
0.2500 0.7500 0.5000 Ge
0.7500 0.2500 0.5000 Ge
0.3946 0.3946 0.2108 Tc
0.6054 0.6054 0.7892 Tc
0.0000 0.0000 0.0000 Al
```

Summary:
E = -33.71 eV/cell
V = 79.5 Å³ per cell
Energy relative to the lowest polymorph listed for this composition = 110 meV/atom
D(E_F) = 2.11 states/eV per cell
Energy of formation from the pure elements = 0 meV/atom

(6)
Compound: Al2TcGe2
Source: Alexandria via LeMat-Bulk
Functional: PBE
Structure: optimized geometry

Structure (POSCAR):
```
Al2TcGe2
1.0
-6.3728 1.4951 0.1885
-1.4872 -6.1077 -1.8351
-0.1391 -1.0465 3.5958
Tc Ge Al
2 4 4
Direct
0.5000 0.5000 0.0000 Tc
0.0000 0.0000 0.0000 Tc
0.8625 0.6375 0.0000 Ge
0.3625 0.8625 0.0000 Ge
0.6375 0.1375 0.0000 Ge
0.1375 0.3625 0.0000 Ge
0.1708 0.6708 0.5000 Al
0.3292 0.1708 0.5000 Al
0.6708 0.8292 0.5000 Al
0.8292 0.3292 0.5000 Al
```

Summary:
E = -53.26 eV/cell
V = 160.7 Å³ per cell
D(E_F) = 3.83 states/eV per cell
Energy of formation from the pure elements = 91 meV/atom

no.,density (g/cm³)
1,3.909
2,5.893
3,8.249
4,7.894
5,7.691
6,6.143